A plane-wave DFT calculation with GGA-PBE was carried out for a geometry-optimized Tb3YZn2 structure.

DFT formation energy in eV/atom: -0.223

abc: 3.5896 3.5896 12.1863
angles: 90.00 90.00 90.00
Closest atoms and distances in Å follow each position.
Fractional coordinates of all 6 atoms:
Tb 0.0000 0.0000 0.0000  8 Zn 3.09
Tb 0.0000 0.0000 0.2898  4 Zn 3.09
Tb 0.0000 0.0000 0.7102  4 Zn 3.09
Y 0.5000 0.5000 0.5000  4 Y 3.59, 8 Tb 3.61
Zn 0.5000 0.5000 0.1448  8 Tb 3.09
Zn 0.5000 0.5000 0.8552  8 Tb 3.09

***

A plane-wave DFT calculation with GGA-PBE was carried out for a geometry-optimized SnAs2IrBr structure.

E_form (uncorrected) in eV per atom: 0.38

abc: 4.7724 4.7724 5.5487
angles: 90.00 90.00 90.00
Closest atoms and distances in Å follow each position.
Fractional coordinates of all 5 atoms:
Sn 0.0000 0.0000 0.0000  4 Br 3.37, 8 As 3.66
As 0.0000 0.5000 0.5000  2 Ir 2.39
As 0.5000 0.0000 0.5000  2 Ir 2.39
Ir 0.5000 0.5000 0.5000  4 As 2.39
Br 0.5000 0.5000 0.0000  2 Ir 2.77

***

Calculated values (μB/f.u.) of magnetic moment for the records, taken in order: 0.00; 0.00.
Calculated values (kJ/mol of atoms) of distance to the lowest polymorph of the same formula for the records, taken in order: 0.9; 0.0.